1.
{
  "formula": "ZnIr4W",
  "functional": "PBE",
  "state": "relaxed",
  "dos_ef_per_ev_cell": 4.72,
  "delta_e_f_ev_per_atom": 0.3449,
  "vol_a3_per_atom": 15.924,
  "sg": "F-43m, No. 216",
  "lattice_angstrom": [[0.0000, 3.6285, 3.6285], [3.6285, 0.0000, 3.6285], [3.6285, 3.6285, 0.0000]],
  "species": ["Zn", "Ir", "Ir", "Ir", "Ir", "W"],
  "fractional_positions": [[0.0000, 0.0000, 0.0000], [0.3745, 0.3745, 0.3745], [0.3745, 0.3745, 0.8766], [0.3745, 0.8766, 0.3745], [0.8766, 0.3745, 0.3745], [0.7500, 0.7500, 0.7500]]
}

2.
{
  "formula": "Zn2IrW",
  "functional": "PBE",
  "state": "relaxed",
  "dos_ef_per_ev_cell": 7.37,
  "relative_energy_ev_per_atom": 0.363,
  "delta_e_f_ev_per_atom": 0.2652,
  "vol_a3_per_atom": 15.007,
  "sg": "I4/mmm, No. 139",
  "lattice_angstrom": [[3.7706, 0.0000, 0.0000], [0.0000, 3.7706, 0.0000], [0.0000, 0.0000, 8.4444]],
  "species": ["Zn", "Zn", "Zn", "Zn", "Ir", "Ir", "W", "W"],
  "fractional_positions": [[0.0000, 0.5000, 0.2500], [0.0000, 0.5000, 0.7500], [0.5000, 0.0000, 0.2500], [0.5000, 0.0000, 0.7500], [0.0000, 0.0000, 0.0000], [0.5000, 0.5000, 0.5000], [0.0000, 0.0000, 0.5000], [0.5000, 0.5000, 0.0000]]
}

3.
{
  "formula": "ZnIrW",
  "functional": "PBE",
  "state": "relaxed",
  "dos_ef_per_ev_cell": 2.01,
  "relative_energy_ev_per_atom": 0.196,
  "delta_e_f_ev_per_atom": -0.0032,
  "vol_a3_per_atom": 15.141,
  "sg": "P3m1, No. 156",
  "lattice_angstrom": [[2.7925, 0.0000, 0.0000], [-1.3963, 2.4184, 0.0000], [0.0000, 0.0000, 6.7258]],
  "species": ["Zn", "Ir", "W"],
  "fractional_positions": [[0.0000, 0.0000, 0.0000], [0.6667, 0.3333, 0.3351], [0.3333, 0.6667, 0.6548]]
}

4.
{
  "formula": "Zn2IrW",
  "functional": "PBE",
  "state": "relaxed",
  "dos_ef_per_ev_cell": 2.03,
  "relative_energy_ev_per_atom": 0.192,
  "delta_e_f_ev_per_atom": 0.0941,
  "vol_a3_per_atom": 14.922,
  "sg": "P2/m, No. 10",
  "lattice_angstrom": [[2.7619, 0.0000, 0.0000], [0.0000, 4.4280, 0.0000], [-0.4851, 0.0000, 4.8806]],
  "species": ["Zn", "Zn", "Ir", "W"],
  "fractional_positions": [[0.1648, 0.0000, 0.2494], [0.8352, 0.0000, 0.7506], [0.0000, 0.5000, 0.5000], [0.5000, 0.5000, 0.0000]]
}

- Which formula does entry 2 have?
  Zn2IrW

What did the first record say?
{
  "formula": "ZnIr4W",
  "functional": "PBE",
  "state": "relaxed",
  "dos_ef_per_ev_cell": 4.72,
  "delta_e_f_ev_per_atom": 0.3449,
  "vol_a3_per_atom": 15.924,
  "sg": "F-43m, No. 216",
  "lattice_angstrom": [[0.0000, 3.6285, 3.6285], [3.6285, 0.0000, 3.6285], [3.6285, 3.6285, 0.0000]],
  "species": ["Zn", "Ir", "Ir", "Ir", "Ir", "W"],
  "fractional_positions": [[0.0000, 0.0000, 0.0000], [0.3745, 0.3745, 0.3745], [0.3745, 0.3745, 0.8766], [0.3745, 0.8766, 0.3745], [0.8766, 0.3745, 0.3745], [0.7500, 0.7500, 0.7500]]
}